[1]
Mn2Rh | PBE-GGA | optimized geometry

POSCAR file:
```
Mn2Rh
1.0
5.6448 0.0000 0.0000
0.0000 5.6448 0.0000
0.0000 0.0000 5.6448
Mn Rh
8 4
direct
0.0982 0.0982 0.0982 Mn
0.0982 0.4018 0.5982 Mn
0.4018 0.5982 0.0982 Mn
0.4018 0.9018 0.5982 Mn
0.5982 0.0982 0.4018 Mn
0.5982 0.4018 0.9018 Mn
0.9018 0.5982 0.4018 Mn
0.9018 0.9018 0.9018 Mn
0.0000 0.0000 0.5000 Rh
0.0000 0.5000 0.0000 Rh
0.5000 0.0000 0.0000 Rh
0.5000 0.5000 0.5000 Rh
```

Summary:
**Energy**: -0.5630 Ry per atom
**Size of the total moment**: 0.88 μB per formula unit
**ΔH_f (0 K)**: 0.9030 eV/atom
**Volume**: 14.99 A^3/atom
**Space-group type**: No. 205

=====

[2]
MnRh | PBE-GGA | optimized geometry

POSCAR file:
```
MnRh
1.0
4.8368 -1.4048 0.0000
4.8368 1.4048 0.0000
-1.8737 0.0000 6.0764
Mn Rh
3 3
direct
0.0000 0.0000 0.0000 Mn
0.0634 0.0634 0.5733 Mn
0.6763 0.6763 0.3145 Mn
0.3469 0.3469 0.6555 Rh
0.3928 0.3928 0.2560 Rh
0.7055 0.7055 0.9108 Rh
```

Summary:
**Energy**: -0.6156 Ry per atom
**Size of the total moment**: 1.03 μB per formula unit
**ΔH_f (0 K)**: -0.1153 eV/atom
**Volume**: 13.76 A^3/atom
**Space-group type**: No. 8

=====

[3]
MnRh2 | PBE-GGA | optimized geometry

POSCAR file:
```
MnRh2
1.0
-1.3812 1.3812 5.4669
1.3812 -1.3812 5.4669
1.3812 1.3812 -5.4669
Mn Rh
1 2
direct
0.0000 0.0000 0.0000 Mn
0.3397 0.3397 0.0000 Rh
0.6603 0.6603 0.0000 Rh
```

Summary:
**Energy**: -0.5896 Ry per atom
**Size of the total moment**: 2.94 μB per formula unit
**ΔE to the lowest computed polymorph**: 46 meV/atom
**ΔH_f (0 K)**: -0.0640 eV/atom
**Volume**: 13.90 A^3/atom
**Space-group type**: No. 139

=====

[4]
Mn3Rh13 | PBE-GGA | optimized geometry

POSCAR file:
```
Mn3Rh13
1.0
7.6737 0.0000 0.0000
0.0000 3.7986 3.8432
0.0000 -3.7986 3.8432
Mn Rh
3 13
direct
0.0000 0.0000 0.0000 Mn
0.2553 0.2646 0.2646 Mn
0.7447 0.2646 0.2646 Mn
0.0000 0.0142 0.4972 Rh
0.0000 0.4972 0.0142 Rh
0.0000 0.5107 0.5107 Rh
0.2481 0.7601 0.7601 Rh
0.2488 0.2577 0.7644 Rh
0.2488 0.7644 0.2577 Rh
0.5000 0.0094 0.0094 Rh
0.5000 0.0112 0.5092 Rh
0.5000 0.5092 0.0112 Rh
0.5000 0.5087 0.5087 Rh
0.7512 0.2577 0.7644 Rh
0.7512 0.7644 0.2577 Rh
0.7519 0.7601 0.7601 Rh
```

Summary:
**Energy**: -0.5702 Ry per atom
**Size of the total moment**: 7.51 μB per formula unit
**ΔH_f (0 K)**: -0.0658 eV/atom
**Volume**: 14.00 A^3/atom
**Space-group type**: No. 38

=====

[5]
MnRh2 | PBE-GGA | optimized geometry

POSCAR file:
```
MnRh2
1.0
5.1024 0.0000 0.0000
-2.5512 4.4188 0.0000
0.0000 0.0000 8.3295
Mn Rh
4 8
direct
0.3333 0.6667 0.0688 Mn
0.3333 0.6667 0.4312 Mn
0.6667 0.3333 0.5688 Mn
0.6667 0.3333 0.9312 Mn
0.0000 0.0000 0.0000 Rh
0.0000 0.0000 0.5000 Rh
0.1709 0.3418 0.7500 Rh
0.1709 0.8291 0.7500 Rh
0.3418 0.1709 0.2500 Rh
0.6582 0.8291 0.7500 Rh
0.8291 0.1709 0.2500 Rh
0.8291 0.6582 0.2500 Rh
```

Summary:
**Energy**: -0.5770 Ry per atom
**Size of the total moment**: 4.90 μB per formula unit
**ΔE to the lowest computed polymorph**: 216 meV/atom
**ΔH_f (0 K)**: 0.1067 eV/atom
**Volume**: 15.65 A^3/atom
**Space-group type**: No. 194

=====

[6]
MnRh | PBE-GGA | optimized geometry

POSCAR file:
```
MnRh
1.0
2.6452 0.0000 0.0000
-1.3226 2.2908 0.0000
0.0000 0.0000 4.1314
Mn Rh
1 1
direct
0.0000 0.0000 0.0000 Mn
0.3333 0.6667 0.5000 Rh
```

Summary:
**Energy**: -0.6066 Ry per atom
**Size of the total moment**: 0.00 μB per formula unit
**ΔH_f (0 K)**: 0.0068 eV/atom
**Volume**: 12.52 A^3/atom
**Space-group type**: No. 187

=====

Q: The lowest volume belongs to which entry?
A: number 6

=====

Q: Among the records above, which one has the highest volume?
A: number 5

=====

Q: Which of these has the lowest energy?
A: number 2